Material: ZnNi5Ir
Method: DFT, GGA-PBE
State: relaxed

POSCAR file:
```
ZnNi5Ir
1.0
-3.627 3.830 3.218
3.627 -3.830 3.218
3.627 3.830 -3.218
Zn Ni Ir
2 10 2
direct
0.308 0.058 0.250
0.692 0.942 0.750
0.000 0.251 0.251
0.000 0.749 0.749
0.222 0.745 0.477
0.232 0.255 0.977
0.284 0.534 0.750
0.500 0.251 0.751
0.500 0.749 0.249
0.716 0.466 0.250
0.768 0.745 0.023
0.778 0.255 0.523
0.000 0.000 0.500
0.000 0.500 0.000
```

## Properties
- SG: Imma (74)
- Energy: -0.4016 Ry/atom
- Total magnetization: 1.1 μB per formula unit
- Energy relative to the elements: 0.114 eV/atom
- Energy relative to the lowest polymorph listed for this composition: 62 meV/atom

=====

Material: Pm2CuGe4Ir3
Method: DFT, GGA-PBE
State: relaxed

POSCAR file:
```
Pm2CuGe4Ir3
1.0
4.288 0.000 0.000
0.000 4.288 0.000
0.000 0.000 10.094
Pm Cu Ge Ir
2 1 4 3
direct
0.000 0.500 0.245
0.500 0.000 0.755
0.000 0.000 0.500
0.000 0.000 0.000
0.000 0.500 0.631
0.500 0.000 0.369
0.500 0.500 0.000
0.000 0.500 0.873
0.500 0.000 0.127
0.500 0.500 0.500
```

## Properties
- SG: P-4m2 (115)
- Energy: -0.4811 Ry/atom
- Total magnetization: 0.0 μB per formula unit
- Energy relative to the elements: -0.681 eV/atom

=====

Material: CaReBr2
Method: DFT, GGA-PBE
State: relaxed

POSCAR file:
```
CaReBr2
1.0
-1.840 2.436 6.508
1.840 -2.436 6.508
1.840 2.436 -6.508
Ca Re Br
1 1 2
direct
0.000 0.000 0.000
0.500 0.500 0.000
0.361 0.861 0.500
0.639 0.139 0.500
```

## Properties
- SG: Immm (71)
- Energy: -0.3292 Ry/atom
- Total magnetization: 0.9 μB per formula unit
- Raw formation energy: -31 meV per atom
- Energy relative to the lowest polymorph listed for this composition: 3 meV/atom

=====

Material: Nd3Sm2Al3
Method: DFT, GGA-PBE
State: relaxed

POSCAR file:
```
Nd3Sm2Al3
1.0
-1.895 2.658 11.120
1.895 -2.658 11.120
1.895 2.658 -11.120
Nd Sm Al
3 2 3
direct
0.000 0.000 0.000
0.382 0.882 0.500
0.618 0.118 0.500
0.229 0.229 0.000
0.771 0.771 0.000
0.118 0.618 0.500
0.500 0.500 0.000
0.882 0.382 0.500
```

## Properties
- SG: Immm (71)
- Energy: -0.3402 Ry/atom
- Total magnetization: 0.0 μB per formula unit
- Energy relative to the elements: -0.257 eV/atom